A relaxed structure of SmCoO3, computed with PBE+U.

Structure (extended XYZ):
```
5
Lattice="4.3657 0.0000 0.0000 0.0000 4.3657 0.0000 0.0000 0.0000 4.3657" Properties=species:S:1:pos:R:3 pbc="T T T"
Sm 0.0000 0.0000 0.0000
Co 2.1828 2.1828 2.1828
O 0.0000 0.0000 2.1828
O 0.0000 2.1828 0.0000
O 2.1828 0.0000 0.0000
```

Output
Total energy: -5.818 eV per atom
Volume: 83 Å³/cell
M_tot: 4.0 μB/cell